Entry 1:
Computed, not measured: crystalline LiFe5O5F at its relaxed geometry at the GGA-PBEsol level of DFT.

Summary:
As for the space-group type: Amm2, No. 38. The value obtained for the density of states at the Fermi level is 0.5413 states/eV/atom.

abc: 3.2791 3.2791 12.8775
angles: 90.00 90.00 114.13
Closest atoms and distances in Å follow each position.
Element x y z (fractional)
Fe 0.3480 0.6520 0.3188  4 O 1.98-2.07
Fe 0.6619 0.3381 0.1799  3 O 1.95-2.03
O 0.7070 0.2930 0.6506  4 Fe 1.94-2.01
Fe 0.6938 0.3062 0.5000  5 O 1.91-2.06
Fe 0.3480 0.6520 0.6812  4 O 1.98-2.07
Fe 0.6619 0.3381 0.8201  3 O 1.95-2.03
O 0.2965 0.7035 0.8408  4 Fe 1.95-2.07, 1 Li 2.05
O 0.7070 0.2930 0.3494  4 Fe 1.94-2.01
Li 0.3045 0.6955 0.0000  3 F 1.94-1.96, 2 O 2.05
O 0.3202 0.6798 0.5000  3 Fe 1.91-2.06
F 0.6564 0.3436 0.0000  3 Li 1.94-1.96
O 0.2965 0.7035 0.1592  4 Fe 1.95-2.07, 1 Li 2.05

---

Entry 2:
Computed, not measured: crystalline Li4FeO3F at its relaxed geometry at the GGA-PBEsol level of DFT.

Summary:
As for the space-group type: Cmc2_1, No. 36.

abc: 5.3333 5.3333 6.2905
angles: 90.00 90.00 95.56
Closest atoms and distances in Å follow each position.
Element x y z (fractional)
F 0.7956 0.7956 0.4902  4 Li 1.98-2.05, 1 Fe 2.10
Li 0.8414 0.1676 0.4979  3 O 1.89-1.91, 1 F 1.98
Li 0.1586 0.8324 0.9979  3 O 1.89-1.91, 1 F 1.98
O 0.6751 0.2602 0.2497  1 Fe 1.84, 4 Li 1.89-2.02
O 0.7398 0.3249 0.7497  1 Fe 1.84, 4 Li 1.89-2.02
Li 0.8841 0.5778 0.2384  3 O 1.94-2.02, 1 F 2.05
Li 0.8324 0.1586 0.9979  3 O 1.89-1.91, 1 F 1.98
O 0.2602 0.6751 0.2497  1 Fe 1.84, 4 Li 1.89-2.02
Li 0.4222 0.1159 0.7384  3 O 1.94-2.02, 1 F 2.05
O 0.3249 0.7398 0.7497  1 Fe 1.84, 4 Li 1.89-2.02
Li 0.1676 0.8414 0.4979  3 O 1.89-1.91, 1 F 1.98
Fe 0.3545 0.3545 0.2771  3 O 1.84
Fe 0.6455 0.6455 0.7771  3 O 1.84
Li 0.1159 0.4222 0.7384  3 O 1.94-2.02, 1 F 2.05
O 0.2009 0.2009 0.5108  1 Fe 1.84, 4 Li 1.91-1.94
O 0.7991 0.7991 0.0108  1 Fe 1.84, 4 Li 1.91-1.94
F 0.2044 0.2044 0.9902  4 Li 1.98-2.05, 1 Fe 2.10
Li 0.5778 0.8841 0.2384  3 O 1.94-2.02, 1 F 2.05

---

Entry 3:
Computed, not measured: crystalline Li5FeO4F at its relaxed geometry at the GGA-PBEsol level of DFT.

Summary:
As for the space-group type: P2_1, No. 4.

abc: 5.0813 5.0505 8.7997
angles: 90.00 90.00 110.72
Closest atoms and distances in Å follow each position.
Element x y z (fractional)
O 0.5419 0.3199 0.7344  1 Fe 1.76, 2 Li 1.92-1.95
Li 0.6760 0.9154 0.0479  4 O 1.97-2.10, 1 F 2.00
Li 0.2097 0.4884 0.0684  4 O 1.95-2.06
Fe 0.7555 0.5880 0.2723  4 O 1.76-1.83
O 0.4581 0.6802 0.2344  1 Fe 1.76, 2 Li 1.92-1.95
O 0.0632 0.2997 0.5975  1 Fe 1.78, 1 Li 1.91
Li 0.6784 0.0123 0.7559  1 F 1.88, 3 O 1.92-2.04
Fe 0.2445 0.4120 0.7723  4 O 1.76-1.83
O 0.9368 0.7003 0.0975  1 Fe 1.78, 1 Li 1.91
F 0.4684 0.1827 0.0751  4 Li 1.83-2.00
F 0.5316 0.8173 0.5751  4 Li 1.83-2.00
O 0.9766 0.2050 0.9072  1 Fe 1.83, 3 Li 1.99-2.01
O 0.5961 0.2898 0.3910  1 Fe 1.78, 2 Li 1.97
O 0.0234 0.7950 0.4072  1 Fe 1.83, 3 Li 1.99-2.01
O 0.4039 0.7102 0.8910  1 Fe 1.78, 2 Li 1.97
Li 0.3240 0.0846 0.5479  4 O 1.97-2.10, 1 F 2.00
Li 0.8131 0.0496 0.4554  1 F 1.83, 3 O 1.91-1.99
Li 0.3216 0.9877 0.2559  1 F 1.88, 3 O 1.92-2.04
Li 0.7903 0.5116 0.5684  4 O 1.95-2.06
Li 0.1869 0.9504 0.9554  1 F 1.83, 3 O 1.91-1.99
Li 0.7182 0.4237 0.9388  1 F 1.85, 3 O 2.00-2.01
Li 0.2818 0.5763 0.4388  1 F 1.85, 3 O 2.00-2.01

---

Number 1: uncorrected energy -7.387 eV/atom. Number 2: uncorrected energy -5.734 eV/atom. Number 3: uncorrected energy -5.720 eV/atom.